The following is a DFT calculation (PBE-GGA) of crystalline CrGa2Br at its relaxed geometry.

It has space group I-42d (No. 122), with a = 8.376 Å, b = 8.376 Å, c = 5.215 Å, α = 90.00°, β = 90.00° and γ = 90.00°. Symmetry generates all atoms from Cr at (0.000, 0.000, 0.000), Ga at (0.193, 0.250, 0.125) and Br at (0.000, 0.000, 0.500).

The total DFT energy (no corrections) is -64.720 eV for the cell shown. As for the crystal system: tetragonal.